Below is a geometry-optimized ReBiSb2I structure, with properties calculated at the GGA-PBE level.

Cell lengths 5.112, 5.112, 5.810 Å; angles 90.00, 90.00, 90.00 degrees
Atoms (fractional coordinates):
Re: 0.000 0.000 0.000
Bi: 0.500 0.500 0.500
Sb: 0.000 0.500 0.000
Sb: 0.500 0.000 0.000
I: 0.000 0.000 0.500

Values from the calculation:
polymorph energy (0 for the lowest one): 0.000 eV per atom
E: -4.530 eV/atom
DOS at the Fermi energy: 0.9534 states/eV per atom
symmetry: P4/mmm